This record from the Open Quantum Materials Database describes an optimized crystal structure of LaDySb2. The functional is PBE.

```
LaDySb2
1.0
-3.3439 1.5314 2.5208
1.5002 -2.3979 3.4469
6.6238 8.9547 3.3465
Dy La Sb
2 2 4
Direct
0.0000 0.5000 0.2969
0.5000 0.0000 0.7031
0.0000 0.0000 0.0000
0.5000 0.5000 0.0000
0.5000 0.0000 0.2105
0.0000 0.0000 0.5000
0.5000 0.5000 0.5000
0.0000 0.5000 0.7895
```

Summary:
raw total energy: -41.65 eV per cell

This record from the Open Quantum Materials Database describes an optimized crystal structure of LaDySb. The functional is PBE.

```
LaDySb
1.0
-0.2423 -5.2090 -0.1308
-0.9937 -2.6752 4.3664
-4.5862 -2.4133 0.5934
Dy La Sb
1 1 1
Direct
0.5000 0.5000 0.5000
0.0000 0.0000 0.0000
0.2500 0.2500 0.2500
```

Summary:
raw total energy: -15.46 eV per cell

This record from the Open Quantum Materials Database describes an optimized crystal structure of LaDySc. The functional is PBE.

```
LaDySc
1.0
-3.5805 -3.5558 1.6704
-5.0079 1.5123 0.9420
-3.9050 -1.5667 -3.2481
Dy La Sc
1 1 1
Direct
0.2500 0.2500 0.2500
0.7500 0.7500 0.7500
0.0000 0.0000 0.0000
```

Summary:
energy above the lowest structure with this stoichiometry: 0 meV/atom
raw total energy: -13.86 eV per cell

This record from the Open Quantum Materials Database describes an optimized crystal structure of LaDy2Se3. The functional is PBE.

```
LaDy2Se3
1.0
-0.3199 2.7735 -3.0287
1.3154 -3.8141 -0.8305
-9.7074 -2.9775 -1.7014
Dy La Se
2 1 3
Direct
0.6667 0.3333 0.3379
0.3333 0.6667 0.6621
0.0000 0.0000 0.0000
0.3333 0.6667 0.1834
0.0000 0.0000 0.5000
0.6667 0.3333 0.8166
```

Summary:
raw total energy: -35.61 eV per cell

This record from the Open Quantum Materials Database describes an optimized crystal structure of La2DySe3. The functional is PBE.

```
La2DySe3
1.0
-2.7790 -2.3517 2.1089
0.0322 -0.0472 -4.2069
6.8117 -7.9227 0.1410
Dy La Se
1 2 3
Direct
0.0000 0.0000 0.5000
0.3333 0.6667 0.1714
0.6667 0.3333 0.8286
0.0000 0.0000 0.0000
0.6667 0.3333 0.3488
0.3333 0.6667 0.6512
```

Summary:
raw total energy: -36.42 eV per cell

This record from the Open Quantum Materials Database describes an optimized crystal structure of LaDy3Se6. The functional is PBE.

```
LaDy3Se6
1.0
-11.0924 -2.4432 -2.5209
0.3055 -3.5737 2.1192
0.4203 6.1045 10.2336
Dy La Se
6 2 12
Direct
0.1590 0.2500 0.0867
0.5585 0.7500 0.1662
0.6799 0.2500 0.4998
0.3201 0.7500 0.5002
0.4415 0.2500 0.8338
0.8410 0.7500 0.9133
0.9512 0.7500 0.3048
0.0488 0.2500 0.6952
0.3925 0.2500 0.0576
0.9161 0.2500 0.0935
0.1974 0.7500 0.2500
0.7351 0.2500 0.2717
0.5194 0.7500 0.3866
0.1193 0.2500 0.4646
0.8807 0.7500 0.5354
0.4806 0.2500 0.6134
0.2649 0.7500 0.7283
0.8026 0.2500 0.7500
0.0839 0.7500 0.9065
0.6075 0.7500 0.9424
```

Summary:
raw total energy: -117.92 eV per cell

This record from the Open Quantum Materials Database describes an optimized crystal structure of LaDySe6. The functional is PBE.

```
LaDySe6
1.0
4.0284 2.3258 3.2746
-4.0284 2.3258 3.2746
0.0000 -4.6516 3.2746
Dy La Se
1 1 6
Direct
0.0000 0.0000 0.0000
0.5000 0.5000 0.5000
0.2164 0.4998 0.0007
0.4998 0.0007 0.2164
0.0007 0.2164 0.4998
0.9993 0.7836 0.5002
0.5002 0.9993 0.7836
0.7836 0.5002 0.9993
```

Summary:
raw total energy: -38.94 eV per cell

This record from the Open Quantum Materials Database describes an optimized crystal structure of LaDySi2. The functional is PBE.

```
LaDySi2
1.0
2.2167 -9.8111 0.0000
2.2167 9.8111 0.0000
0.0000 0.0000 4.3906
Dy La Si
2 2 4
Direct
0.7485 0.2515 0.2500
0.2515 0.7485 0.7500
0.0889 0.9111 0.2500
0.9111 0.0889 0.7500
0.4724 0.5276 0.2500
0.3518 0.6482 0.2500
0.6482 0.3518 0.7500
0.5276 0.4724 0.7500
```

Summary:
raw total energy: -45.63 eV per cell

Which formula does entry 3 have? LaDySc